Entry 1:
## InReMo2 (PBE)

Data for an optimized crystal structure of InReMo2.

Values from the calculation:
**Uncorrected energy**: -8.796 eV/atom
**Formation energy**: 0.416 eV/atom

Structure (CIF):
```
data_InReMo2
_chemical_formula_sum 'In4 Re4 Mo8'
_space_group_name_H-M_alt 'F -4 3 m'
_space_group_IT_number 216
_space_group_name_Hall 'F -4 2 3'
_cell_length_a 6.4342
_cell_length_b 6.4342
_cell_length_c 6.4342
_cell_angle_alpha 90.00
_cell_angle_beta 90.00
_cell_angle_gamma 90.00
loop_
_atom_site_label
_atom_site_type_symbol
_atom_site_fract_x
_atom_site_fract_y
_atom_site_fract_z
In1 In 0.0000 0.0000 0.0000
Re1 Re 0.2500 0.2500 0.7500
Mo1 Mo 0.0000 0.0000 0.5000
Mo2 Mo 0.2500 0.2500 0.2500
```

Entry 2:
## InReMo2 (PBE)

Data for an optimized crystal structure of InReMo2.

Values from the calculation:
**Uncorrected energy**: -8.815 eV/atom
**Formation energy**: 0.398 eV/atom

Structure (CIF):
```
data_InReMo2
_chemical_formula_sum 'In3 Re3 Mo6'
_space_group_name_H-M_alt 'R 3 m'
_space_group_IT_number 160
_space_group_name_Hall 'R 3 -2"'
_cell_length_a 2.9010
_cell_length_b 2.9010
_cell_length_c 27.8159
_cell_angle_alpha 90.00
_cell_angle_beta 90.00
_cell_angle_gamma 120.00
loop_
_atom_site_label
_atom_site_type_symbol
_atom_site_fract_x
_atom_site_fract_y
_atom_site_fract_z
In1 In 0.0000 0.0000 0.0000
Re1 Re 0.0000 0.0000 0.7538
Mo1 Mo 0.0000 0.0000 0.2448
Mo2 Mo 0.0000 0.0000 0.4959
```

Entry 3:
## InReMo2 (PBE)

Data for an optimized crystal structure of InReMo2.

Values from the calculation:
**Uncorrected energy**: -8.913 eV/atom
**Formation energy**: 0.299 eV/atom

Structure (CIF):
```
data_InReMo2
_chemical_formula_sum 'In2 Re2 Mo4'
_space_group_name_H-M_alt 'C 1 m 1'
_space_group_IT_number 8
_cell_length_a 10.1379
_cell_length_b 3.2377
_cell_length_c 4.5275
_cell_angle_alpha 90.00
_cell_angle_beta 116.41
_cell_angle_gamma 90.00
loop_
_space_group_symop_operation_xyz
'x,y,z'
'x,-y,z'
'x+1/2,y+1/2,z'
'x+1/2,-y+1/2,z'
loop_
_atom_site_label
_atom_site_type_symbol
_atom_site_fract_x
_atom_site_fract_y
_atom_site_fract_z
In1 In 0.0000 0.0000 0.0000
Re1 Re 0.2616 0.5000 0.2615
Mo1 Mo 0.2350 0.0000 0.7346
Mo2 Mo 0.4967 0.0000 0.4967
```

Entry 4:
## In2ReMo (PBE)

Data for an optimized crystal structure of In2ReMo.

Values from the calculation:
**Uncorrected energy**: -6.735 eV/atom
**Formation energy**: 0.454 eV/atom

Structure (CIF):
```
data_In2ReMo
_chemical_formula_sum 'In4 Re2 Mo2'
_space_group_name_H-M_alt 'C 1 m 1'
_space_group_IT_number 8
_cell_length_a 10.0849
_cell_length_b 3.2139
_cell_length_c 4.9360
_cell_angle_alpha 90.00
_cell_angle_beta 108.53
_cell_angle_gamma 90.00
loop_
_space_group_symop_operation_xyz
'x,y,z'
'x,-y,z'
'x+1/2,y+1/2,z'
'x+1/2,-y+1/2,z'
loop_
_atom_site_label
_atom_site_type_symbol
_atom_site_fract_x
_atom_site_fract_y
_atom_site_fract_z
In1 In 0.0000 0.0000 0.0000
In2 In 0.2196 0.0000 0.6864
Re1 Re 0.4566 0.0000 0.4632
Mo1 Mo 0.2658 0.5000 0.2257
```

Entry 5:
## In2ReMo (PBE)

Data for an optimized crystal structure of In2ReMo.

Values from the calculation:
**Uncorrected energy**: -6.570 eV/atom
**Formation energy**: 0.619 eV/atom

Structure (CIF):
```
data_In2ReMo
_chemical_formula_sum 'In2 Re1 Mo1'
_space_group_name_H-M_alt 'P 1 2/m 1'
_space_group_IT_number 10
_cell_length_a 2.8844
_cell_length_b 4.6417
_cell_length_c 5.4779
_cell_angle_alpha 90.00
_cell_angle_beta 98.98
_cell_angle_gamma 90.00
loop_
_space_group_symop_operation_xyz
'x,y,z'
'-x,-y,-z'
'-x,y,-z'
'x,-y,z'
loop_
_atom_site_label
_atom_site_type_symbol
_atom_site_fract_x
_atom_site_fract_y
_atom_site_fract_z
In1 In 0.2213 0.0000 0.2506
Re1 Re 0.0000 0.5000 0.5000
Mo1 Mo 0.5000 0.5000 0.0000
```

Entry 6:
## In2ReMo (PBE)

Data for an optimized crystal structure of In2ReMo.

Values from the calculation:
**Uncorrected energy**: -6.570 eV/atom
**Formation energy**: 0.619 eV/atom

Structure (CIF):
```
data_In2ReMo
_chemical_formula_sum 'In4 Re2 Mo2'
_space_group_name_H-M_alt 'I m m m'
_space_group_IT_number 71
_space_group_name_Hall '-I 2 2'
_cell_length_a 3.2576
_cell_length_b 4.7717
_cell_length_c 9.3250
_cell_angle_alpha 90.00
_cell_angle_beta 90.00
_cell_angle_gamma 90.00
loop_
_atom_site_label
_atom_site_type_symbol
_atom_site_fract_x
_atom_site_fract_y
_atom_site_fract_z
In1 In 0.0000 0.0000 0.2466
Re1 Re 0.0000 0.5000 0.5000
Mo1 Mo 0.0000 0.5000 0.0000
```

Entry 7:
## InReMo2 (PBE)

Data for an optimized crystal structure of InReMo2.

Values from the calculation:
**Uncorrected energy**: -8.886 eV/atom
**Formation energy**: 0.326 eV/atom

Structure (CIF):
```
data_InReMo2
_chemical_formula_sum 'In2 Re2 Mo4'
_space_group_name_H-M_alt 'C m m 2'
_space_group_IT_number 35
_cell_length_a 3.1886
_cell_length_b 4.6351
_cell_length_c 9.1470
_cell_angle_alpha 90.00
_cell_angle_beta 90.00
_cell_angle_gamma 90.00
loop_
_space_group_symop_operation_xyz
'x,y,z'
'-x,-y,z'
'-x,y,z'
'x,-y,z'
'x+1/2,y+1/2,z'
'-x+1/2,-y+1/2,z'
'-x+1/2,y+1/2,z'
'x+1/2,-y+1/2,z'
loop_
_atom_site_label
_atom_site_type_symbol
_atom_site_fract_x
_atom_site_fract_y
_atom_site_fract_z
In1 In 0.0000 0.0000 0.0000
Re1 Re 0.0000 0.5000 0.7334
Mo1 Mo 0.0000 0.0000 0.5021
Mo2 Mo 0.0000 0.5000 0.2660
```

Entry 8:
## InReMo (PBE)

Data for an optimized crystal structure of InReMo.

Values from the calculation:
**Uncorrected energy**: -8.272 eV/atom
**Formation energy**: 0.400 eV/atom

Structure (CIF):
```
data_InReMo
_chemical_formula_sum 'In4 Re4 Mo4'
_space_group_name_H-M_alt 'F m m 2'
_space_group_IT_number 42
_space_group_name_Hall 'F 2 -2'
_cell_length_a 3.0463
_cell_length_b 4.8244
_cell_length_c 14.1487
_cell_angle_alpha 90.00
_cell_angle_beta 90.00
_cell_angle_gamma 90.00
loop_
_atom_site_label
_atom_site_type_symbol
_atom_site_fract_x
_atom_site_fract_y
_atom_site_fract_z
In1 In 0.0000 0.0000 0.0000
Re1 Re 0.0000 0.0000 0.6755
Mo1 Mo 0.0000 0.0000 0.3247
```

Entry 9:
## In2ReMo (PBE)

Data for an optimized crystal structure of In2ReMo.

Values from the calculation:
**Uncorrected energy**: -6.062 eV/atom
**Formation energy**: 1.127 eV/atom

Structure (CIF):
```
data_In2ReMo
_chemical_formula_sum 'In8 Re4 Mo4'
_space_group_name_H-M_alt 'I -4 2 d'
_space_group_IT_number 122
_space_group_name_Hall 'I -4 2bw'
_cell_length_a 7.6105
_cell_length_b 7.6105
_cell_length_c 5.5496
_cell_angle_alpha 90.00
_cell_angle_beta 90.00
_cell_angle_gamma 90.00
loop_
_atom_site_label
_atom_site_type_symbol
_atom_site_fract_x
_atom_site_fract_y
_atom_site_fract_z
In1 In 0.2432 0.2500 0.1250
Re1 Re 0.0000 0.0000 0.0000
Mo1 Mo 0.0000 0.0000 0.5000
```

Entry 10:
## InReMo2 (PBE)

Data for an optimized crystal structure of InReMo2.

Values from the calculation:
**Uncorrected energy**: -8.864 eV/atom
**Formation energy**: 0.348 eV/atom

Structure (CIF):
```
data_InReMo2
_chemical_formula_sum 'In1 Re1 Mo2'
_space_group_name_H-M_alt 'P 4 m m'
_space_group_IT_number 99
_cell_length_a 3.2340
_cell_length_b 3.2340
_cell_length_c 6.4757
_cell_angle_alpha 90.00
_cell_angle_beta 90.00
_cell_angle_gamma 90.00
loop_
_space_group_symop_operation_xyz
'x,y,z'
'-y,x,z'
'-x,-y,z'
'y,-x,z'
'-x,y,z'
'y,x,z'
'x,-y,z'
'-y,-x,z'
loop_
_atom_site_label
_atom_site_type_symbol
_atom_site_fract_x
_atom_site_fract_y
_atom_site_fract_z
In1 In 0.0000 0.0000 0.0000
Re1 Re 0.5000 0.5000 0.7226
Mo1 Mo 0.0000 0.0000 0.5066
Mo2 Mo 0.5000 0.5000 0.2756
```